Below is crystalline MgH6Rh5 at its relaxed geometry, with properties calculated at the PBE-GGA level.

Results
Its total energy is -4.961 eV/atom.

Cell: 4.980 5.054 5.143 Å, 79.55 69.44 60.66°
Fractional coordinates of all 12 atoms:
Mg 0.000 0.000 0.000
H 0.064 0.617 0.846
H 0.321 0.925 0.277
H 0.476 0.341 0.283
H 0.524 0.659 0.717
H 0.679 0.075 0.723
H 0.936 0.383 0.154
Rh 0.165 0.670 0.485
Rh 0.344 0.321 0.006
Rh 0.500 0.000 0.500
Rh 0.656 0.679 0.994
Rh 0.835 0.330 0.515

Below is crystalline NdZrTiIr2 at its relaxed geometry, with properties calculated at the PBE-GGA level.

Results
For the formation energy, the calculation gives -0.74 eV per atom.

Cell: 6.310 6.310 6.310 Å, 139.03 139.03 59.33°
Fractional coordinates of all 5 atoms:
Nd 0.000 0.000 0.000
Zr 0.750 0.250 0.500
Ti 0.250 0.750 0.500
Ir 0.381 0.381 0.000
Ir 0.619 0.619 0.000

Below is crystalline RhPb2Se at its relaxed geometry, with properties calculated at the PBE-GGA level.

Results
For the uncorrected formation energy, the calculation gives 250.4 meV per atom.

Cell: 5.079 5.079 5.079 Å, 60.00 60.00 60.00°
Fractional coordinates of all 4 atoms:
Rh 0.000 0.000 0.000
Pb 0.250 0.250 0.250
Pb 0.500 0.500 0.500
Se 0.750 0.750 0.750

Below is crystalline RuAuI2N at its relaxed geometry, with properties calculated at the PBE-GGA level.

Results
For the uncorrected formation energy, the calculation gives 535.4 meV per atom. For the energy above the most stable polymorph in this dataset, the calculation gives 0 meV/atom.

Cell: 5.569 5.569 3.704 Å, 90.00 90.00 90.00°
Fractional coordinates of all 5 atoms:
Ru 0.000 0.000 0.000
Au 0.500 0.500 0.500
I 0.000 0.500 0.000
I 0.500 0.000 0.000
N 0.000 0.000 0.500

Below is crystalline Sr5MgHg2 at its relaxed geometry, with properties calculated at the PBE-GGA level.

Results
For the formation energy, the calculation gives -0.29 eV per atom.

Cell: 10.086 10.086 10.086 Å, 126.99 126.99 78.27°
Fractional coordinates of all 16 atoms:
Sr 0.000 0.000 0.000
Sr 0.019 0.519 0.822
Sr 0.197 0.019 0.500
Sr 0.303 0.803 0.822
Sr 0.481 0.303 0.500
Sr 0.500 0.500 0.000
Sr 0.519 0.697 0.500
Sr 0.697 0.197 0.178
Sr 0.803 0.981 0.500
Sr 0.981 0.481 0.178
Mg 0.250 0.250 0.000
Mg 0.750 0.750 0.000
Hg 0.135 0.365 0.500
Hg 0.365 0.865 0.230
Hg 0.635 0.135 0.770
Hg 0.865 0.635 0.500

Below is crystalline AcTe3 at its relaxed geometry, with properties calculated at the PBE-GGA level.

Results
For the uncorrected formation energy, the calculation gives -1062.8 meV per atom.

Cell: 14.435 14.435 4.507 Å, 90.00 90.00 162.04°
Fractional coordinates of all 8 atoms:
Ac 0.171 0.829 0.750
Ac 0.829 0.171 0.250
Te 0.076 0.924 0.250
Te 0.294 0.706 0.750
Te 0.424 0.576 0.250
Te 0.576 0.424 0.750
Te 0.706 0.294 0.250
Te 0.924 0.076 0.750